Compound: Tm3As2O2
Source: Alexandria
Functional: PBE
Structure: optimized geometry

a = 3.8046 Å, b = 6.7774 Å, c = 6.2207 Å
α = 109.99°, β = 107.81°, γ = 90.00°
Closest atoms and distances in Å follow each position.
Fractional positions:
Tm: 0.0000 0.5000 0.0000  2 O 2.21
Tm: 0.3107 0.7281 0.6214  3 O 2.18-2.28
Tm: 0.6893 0.2719 0.3786  3 O 2.18-2.28
As: 0.6200 0.8174 0.2401  5 Tm 2.84-3.17
As: 0.3800 0.1826 0.7599  5 Tm 2.84-3.17
O: 0.8403 0.5956 0.6805  4 Tm 2.18-2.28
O: 0.1597 0.4044 0.3195  4 Tm 2.18-2.28

Its formation energy from raw total energies is -16.0 eV/f.u. For the total magnetic moment, the calculation gives 0.0 μB/f.u.